# Th2In2C, relaxed, DFT PBE
data_Th2In2C
_symmetry_space_group_name_H-M 'I 41/a m d'
_symmetry_Int_Tables_number 141
_cell_length_a 4.457
_cell_length_b 4.457
_cell_length_c 25.739
_cell_angle_alpha 90.00
_cell_angle_beta 90.00
_cell_angle_gamma 90.00
loop_
_symmetry_equiv_pos_as_xyz
'x,y,z'
'-x,-y,-z'
'-y+1/4,x+3/4,z+1/4'
'y+1/4,-x+3/4,-z+1/4'
'-x+1/2,-y,z+1/2'
'x+1/2,y,-z+1/2'
'y+1/4,-x+1/4,z+3/4'
'-y+1/4,x+1/4,-z+3/4'
'x,-y,-z'
'-x,y,z'
'-y+1/4,-x+1/4,-z+3/4'
'y+1/4,x+1/4,z+3/4'
'-x+1/2,y,-z+1/2'
'x+1/2,-y,z+1/2'
'y+1/4,x+3/4,-z+1/4'
'-y+1/4,-x+3/4,z+1/4'
'x+1/2,y+1/2,z+1/2'
'-x+1/2,-y+1/2,-z+1/2'
'-y+3/4,x+1/4,z+3/4'
'y+3/4,-x+1/4,-z+3/4'
'-x,-y+1/2,z'
'x,y+1/2,-z'
'y+3/4,-x+3/4,z+1/4'
'-y+3/4,x+3/4,-z+1/4'
'x+1/2,-y+1/2,-z+1/2'
'-x+1/2,y+1/2,z+1/2'
'-y+3/4,-x+3/4,-z+1/4'
'y+3/4,x+3/4,z+1/4'
'-x,y+1/2,-z'
'x,-y+1/2,z'
'y+3/4,x+1/4,-z+3/4'
'-y+3/4,-x+1/4,z+3/4'
loop_
_atom_site_label
_atom_site_fract_x
_atom_site_fract_y
_atom_site_fract_z
Th1 0.000 0.250 0.084
In1 0.000 0.250 0.216
C1 0.000 0.250 0.875
# energy relative to the elements: -47 kJ/mol of formula units

=====

# HfVP2Cl, relaxed, DFT PBE
data_HfVP2Cl
_symmetry_space_group_name_H-M 'P 4/m m m'
_symmetry_Int_Tables_number 123
_symmetry_space_group_name_Hall '-P 4 2'
_cell_length_a 5.015
_cell_length_b 5.015
_cell_length_c 4.768
_cell_angle_alpha 90.00
_cell_angle_beta 90.00
_cell_angle_gamma 90.00
loop_
_atom_site_label
_atom_site_fract_x
_atom_site_fract_y
_atom_site_fract_z
Hf1 0.000 0.000 0.000
V1 0.500 0.500 0.500
P1 0.000 0.500 0.000
Cl1 0.000 0.000 0.500
# ΔE to the lowest computed polymorph: 273 meV/atom

=====

# BeRu2Pb, relaxed, DFT PBE
data_BeRu2Pb
_symmetry_space_group_name_H-M 'P 4/m m m'
_symmetry_Int_Tables_number 123
_symmetry_space_group_name_Hall '-P 4 2'
_cell_length_a 3.044
_cell_length_b 3.044
_cell_length_c 6.499
_cell_angle_alpha 90.00
_cell_angle_beta 90.00
_cell_angle_gamma 90.00
loop_
_atom_site_label
_atom_site_fract_x
_atom_site_fract_y
_atom_site_fract_z
Be1 0.000 0.000 0.000
Ru1 0.500 0.500 0.197
Pb1 0.000 0.000 0.500
# ΔE to the lowest computed polymorph: 36 meV/atom
# energy relative to the elements: 126 kJ/mol of formula units

=====

# CePr3As4, relaxed, DFT PBE
data_CePr3As4
_symmetry_space_group_name_H-M 'C m m m'
_symmetry_Int_Tables_number 65
_symmetry_space_group_name_Hall '-C 2 2'
_cell_length_a 8.576
_cell_length_b 12.110
_cell_length_c 4.285
_cell_angle_alpha 90.00
_cell_angle_beta 90.00
_cell_angle_gamma 90.00
loop_
_atom_site_label
_atom_site_fract_x
_atom_site_fract_y
_atom_site_fract_z
Ce1 0.000 0.000 0.000
Pr1 0.000 0.500 0.000
Pr2 0.250 0.250 0.500
As1 0.000 0.247 0.000
As2 0.244 0.000 0.500
# ΔE to the lowest computed polymorph: 0 meV/atom
# energy relative to the elements: -1148 kJ/mol of formula units

=====

# NaV2TcSn, relaxed, DFT PBE
data_NaV2TcSn
_symmetry_space_group_name_H-M 'P 4/m m m'
_symmetry_Int_Tables_number 123
_symmetry_space_group_name_Hall '-P 4 2'
_cell_length_a 4.529
_cell_length_b 4.529
_cell_length_c 5.216
_cell_angle_alpha 90.00
_cell_angle_beta 90.00
_cell_angle_gamma 90.00
loop_
_atom_site_label
_atom_site_fract_x
_atom_site_fract_y
_atom_site_fract_z
Na1 0.000 0.000 0.000
V1 0.000 0.500 0.500
Tc1 0.000 0.000 0.500
Sn1 0.500 0.500 0.000
# energy relative to the elements: 511 kJ/mol of formula units

=====

# MgAsF2, relaxed, DFT PBE
data_MgAsF2
_symmetry_space_group_name_H-M 'I -4 2 d'
_symmetry_Int_Tables_number 122
_symmetry_space_group_name_Hall 'I -4 2bw'
_cell_length_a 5.915
_cell_length_b 5.915
_cell_length_c 8.412
_cell_angle_alpha 90.00
_cell_angle_beta 90.00
_cell_angle_gamma 90.00
loop_
_atom_site_label
_atom_site_fract_x
_atom_site_fract_y
_atom_site_fract_z
Mg1 0.000 0.000 0.000
As1 0.000 0.000 0.500
F1 0.060 0.250 0.125
# ΔE to the lowest computed polymorph: 425 meV/atom

=====

# NdErPd, relaxed, DFT PBE
data_NdErPd
_symmetry_space_group_name_H-M 'P 1 21/c 1'
_symmetry_Int_Tables_number 14
_cell_length_a 7.124
_cell_length_b 6.007
_cell_length_c 10.551
_cell_angle_alpha 90.00
_cell_angle_beta 129.04
_cell_angle_gamma 90.00
loop_
_symmetry_equiv_pos_as_xyz
'x,y,z'
'-x,-y,-z'
'-x,y+1/2,-z+1/2'
'x,-y+1/2,z+1/2'
loop_
_atom_site_label
_atom_site_fract_x
_atom_site_fract_y
_atom_site_fract_z
Nd1 0.197 0.139 0.384
Er1 0.324 0.632 0.631
Pd1 0.325 0.637 0.362
# ΔE to the lowest computed polymorph: 69 meV/atom
# energy relative to the elements: -131 kJ/mol of formula units

=====

# Pu2MgCuRh2, relaxed, DFT PBE
data_Pu2MgCuRh2
_symmetry_space_group_name_H-M 'I b a m'
_symmetry_Int_Tables_number 72
_symmetry_space_group_name_Hall '-I 2 2c'
_cell_length_a 5.450
_cell_length_b 15.280
_cell_length_c 5.567
_cell_angle_alpha 90.00
_cell_angle_beta 90.00
_cell_angle_gamma 90.00
loop_
_atom_site_label
_atom_site_fract_x
_atom_site_fract_y
_atom_site_fract_z
Pu1 0.241 0.171 0.000
Mg1 0.000 0.500 0.250
Cu1 0.000 0.000 0.250
Rh1 0.245 0.369 0.000
# energy relative to the elements: -191 kJ/mol of formula units

=====

# Tb2PaTl, relaxed, DFT PBE
data_Tb2PaTl
_symmetry_space_group_name_H-M 'R -3 m'
_symmetry_Int_Tables_number 166
_symmetry_space_group_name_Hall '-R 3 2"'
_cell_length_a 3.3049
_cell_length_b 3.3049
_cell_length_c 35.9383
_cell_angle_alpha 90.00
_cell_angle_beta 90.00
_cell_angle_gamma 120.00
loop_
_atom_site_label
_atom_site_fract_x
_atom_site_fract_y
_atom_site_fract_z
Tb1 0.0000 0.0000 0.0904
Pa1 0.0000 0.0000 0.0000
Tl1 0.0000 0.0000 0.5000
# ΔE to the lowest computed polymorph: 268 meV/atom
# energy relative to the elements: 83 kJ/mol of formula units

=====

# Tb6TcO12, relaxed, DFT PBE
data_Tb6TcO12
_symmetry_space_group_name_H-M 'R -3'
_symmetry_Int_Tables_number 148
_symmetry_space_group_name_Hall '-R 3'
_cell_length_a 9.8620
_cell_length_b 9.8620
_cell_length_c 9.4414
_cell_angle_alpha 90.00
_cell_angle_beta 90.00
_cell_angle_gamma 120.00
loop_
_atom_site_label
_atom_site_fract_x
_atom_site_fract_y
_atom_site_fract_z
Tb1 0.0429 0.2554 0.1436
Tc1 0.0000 0.0000 0.5000
O1 0.0337 0.2236 0.9010
O2 0.0379 0.1840 0.3888
# energy: -8.249 eV/atom

=====

# Nd12HoTm7, relaxed, DFT PBE
data_Nd12HoTm7
_symmetry_space_group_name_H-M 'R -3'
_symmetry_Int_Tables_number 148
_symmetry_space_group_name_Hall '-R 3'
_cell_length_a 12.1161
_cell_length_b 12.1161
_cell_length_c 16.1359
_cell_angle_alpha 90.00
_cell_angle_beta 90.00
_cell_angle_gamma 120.00
loop_
_atom_site_label
_atom_site_fract_x
_atom_site_fract_y
_atom_site_fract_z
Nd1 0.0214 0.5723 0.2226
Nd2 0.0574 0.8694 0.2891
Ho1 0.0000 0.0000 0.0000
Tm1 0.0000 0.0000 0.5000
Tm2 0.0571 0.4697 0.5829
# ΔE to the lowest computed polymorph: 0 meV/atom
# energy relative to the elements: 428 kJ/mol of formula units

=====

# NiH5Rh2, relaxed, DFT PBE
data_NiH5Rh2
_symmetry_space_group_name_H-M 'P -1'
_symmetry_Int_Tables_number 2
_cell_length_a 2.882
_cell_length_b 4.118
_cell_length_c 5.435
_cell_angle_alpha 68.59
_cell_angle_beta 74.90
_cell_angle_gamma 89.70
loop_
_symmetry_equiv_pos_as_xyz
'x,y,z'
'-x,-y,-z'
loop_
_atom_site_label
_atom_site_fract_x
_atom_site_fract_y
_atom_site_fract_z
Ni1 0.000 0.000 0.000
H1 0.150 0.918 0.701
H2 0.152 0.384 0.707
H3 0.500 0.500 0.000
Rh1 0.327 0.327 0.342
# energy: -4.596 eV/atom